Entry from the Alexandria database: a relaxed Tl3SnSb2Te6 crystal (GGA-PBE).

```
Tl3SnSb2Te6
1.0
3.873 -6.704 0.000
3.873 6.704 0.000
-2.577 0.000 7.919
Tl Sn Sb Te
3 1 2 6
Cartesian
0.000 0.000 0.000
3.873 2.251 0.000
3.873 -2.251 0.000
2.585 0.000 3.960
2.585 4.467 3.960
2.585 -4.467 3.960
1.288 2.246 2.213
-0.008 0.000 5.710
1.288 -2.246 2.213
3.882 2.246 5.706
5.177 0.000 2.209
3.882 -2.246 5.706
```

Results
* SG: C2/m (12)

***

Entry from the Alexandria database: a relaxed Tl4SnSb3Te8 crystal (GGA-PBE).

```
Tl4SnSb3Te8
1.0
4.482 2.588 7.866
-4.482 2.588 7.866
0.000 -5.176 7.866
Tl Sn Sb Te
4 1 3 8
Cartesian
0.000 0.000 0.000
-2.241 -1.294 7.866
-2.241 1.294 15.732
0.000 2.588 7.866
0.000 0.000 11.799
-4.482 0.000 11.799
-2.241 1.294 3.933
2.241 1.294 3.933
-2.254 -1.302 13.544
0.000 0.000 5.660
0.000 -2.603 10.054
-2.254 1.302 10.054
2.254 -1.302 13.544
0.000 2.603 13.544
0.000 0.000 17.938
2.254 1.302 10.054
```

Results
* SG: R-3m (166)

***

Energy relative to the elements, uncorrected readings, ordered: -0.23 -0.23 eV/atom